# VCdPtO5 PBE with a Hubbard U relaxed
# Crystal system: monoclinic
# M_tot, μB/cell: 2.01
# Electronic total energy, eV per cell: -96.77
data_VCdPtO5
_space_group_name_H-M_alt 'P 1'
_space_group_IT_number 1
_cell_length_a 5.630
_cell_length_b 5.630
_cell_length_c 7.331
_cell_angle_alpha 102.67
_cell_angle_beta 102.67
_cell_angle_gamma 108.20
loop_
_space_group_symop_operation_xyz
'x,y,z'
loop_
_atom_site_label
_atom_site_fract_x
_atom_site_fract_y
_atom_site_fract_z
V1 0.680 0.320 0.250
V2 0.320 0.680 0.750
Cd1 0.336 0.664 0.250
Cd2 0.664 0.336 0.750
Pt1 0.000 0.000 0.500
Pt2 0.000 0.000 0.000
O1 0.095 0.905 0.250
O2 0.905 0.095 0.750
O3 0.926 0.316 0.125
O4 0.074 0.684 0.875
O5 0.684 0.074 0.375
O6 0.316 0.926 0.625
O7 0.739 0.626 0.434
O8 0.261 0.374 0.566
O9 0.374 0.261 0.066
O10 0.626 0.739 0.934